DFT (GGA-PBE) results for a relaxed structure of La6ScPb10.

```
La6ScPb10
1.0
9.669 0.000 0.000
-4.834 8.373 0.000
0.000 0.000 6.621
La Sc Pb
6 1 10
direct
0.000 0.391 0.260 La
0.000 0.609 0.740 La
0.391 0.000 0.260 La
0.391 0.391 0.740 La
0.609 0.000 0.740 La
0.609 0.609 0.260 La
0.000 0.000 0.500 Sc
0.000 0.240 0.798 Pb
0.000 0.760 0.202 Pb
0.240 0.000 0.798 Pb
0.240 0.240 0.202 Pb
0.333 0.667 0.000 Pb
0.333 0.667 0.500 Pb
0.667 0.333 0.000 Pb
0.667 0.333 0.500 Pb
0.760 0.000 0.202 Pb
0.760 0.760 0.798 Pb
```

## Properties
Space-group type: P-31m
DOS at the Fermi energy in states/eV per atom: 0.875
Formation energy from the elements in eV/atom: -0.458
VASP energy in eV/cell: -80.8